DFT (PBE) results for an optimized crystal structure of Nb3GaO9.

Cell: 4.8744 7.5065 8.7149 Å, 90.00 90.07 90.00°
With the nearest neighbours (Å) after each atom.
Space group P2_1 (No. 4)
One atom of each set of equivalent atoms:
Nb (0.0078, 0.0000, 0.3091) x2  3 O 1.84-1.98
Nb (0.0106, 0.0005, 0.6908) x2  3 O 1.84-1.98
Nb (0.4901, 0.4245, 0.0002) x2  3 O 1.80-1.98
Ga (0.4711, 0.2406, 0.4990) x2  4 O 1.87-1.94
O (0.1973, 0.2310, 0.3404) x2  1 Ga 1.92, 1 Nb 1.98
O (0.1996, 0.2311, 0.6585) x2  1 Ga 1.92, 1 Nb 1.98
O (0.2413, 0.9063, 0.4987) x2  1 Ga 1.87
O (0.2418, 0.5432, 0.1574) x2  2 Nb 1.84-2.03
O (0.2525, 0.8909, 0.1726) x2  2 Nb 1.87-1.98
O (0.2557, 0.5441, 0.8368) x2  2 Nb 1.84-2.03
O (0.2613, 0.5484, 0.4988) x2  1 Ga 1.94, 2 Nb 2.15-2.16
O (0.2665, 0.8903, 0.8206) x2  2 Nb 1.88-1.98
O (0.3352, 0.2069, 0.9976) x2  1 Nb 1.80

=====

DFT (PBE) results for an optimized crystal structure of SmGdTm2In2.

Cell: 5.3888 5.3888 6.7293 Å, 90.00 90.00 120.00°
With the nearest neighbours (Å) after each atom.
Space group P-3m1 (No. 164)
One atom of each set of equivalent atoms:
Sm (0.0000, 0.0000, 0.0000) x1  2 Gd 3.36, 6 In 3.54, 6 Tm 3.54
Gd (0.0000, 0.0000, 0.5000) x1  2 Sm 3.36, 6 Tm 3.54, 6 In 3.54
Tm (0.3333, 0.6667, 0.2503) x2  5 In 3.11-3.37
In (0.3333, 0.6667, 0.7498) x2  5 Tm 3.11-3.37

=====

DFT (PBE) results for an optimized crystal structure of Ho2TmGa3NiGe2.

Cell: 4.1262 12.0109 6.9507 Å, 90.00 90.00 90.00°
With the nearest neighbours (Å) after each atom.
Space group Amm2 (No. 38)
One atom of each set of equivalent atoms:
Ho (0.0000, 0.2000, 0.0000) x4  1 Ni 2.78, 4 Ge 2.96-2.97
Tm (0.0000, 0.0000, 0.5996) x2  1 Ni 2.76, 4 Ge 2.95
Ga (0.5000, 0.0000, 0.9698) x2  2 Ni 2.62, 2 Ge 2.73, 2 Ga 2.77
Ga (0.5000, 0.1148, 0.3160) x4  2 Ni 2.60, 2 Ge 2.74-2.76, 2 Ga 2.76-2.77
Ni (0.0000, 0.0000, 0.2020) x2  6 Ga 2.60-2.62, 1 Tm 2.76, 2 Ho 2.78
Ge (0.5000, 0.1656, 0.6998) x4  3 Ga 2.73-2.76, 2 Tm 2.95, 4 Ho 2.96-2.97

=====

DFT (PBE) results for an optimized crystal structure of KHoBe.

Results
- Energy above the most stable polymorph in this dataset: 0 meV/atom

Cell: 7.1509 7.1509 7.1509 Å, 90.00 90.00 90.00°
With the nearest neighbours (Å) after each atom.
Space group F-43m (No. 216)
One atom of each set of equivalent atoms:
K (0.0000, 0.0000, 0.0000) x4  4 Ho 3.10
Ho (0.2500, 0.2500, 0.7500) x4  4 K 3.10, 4 Be 3.10
Be (0.0000, 0.0000, 0.5000) x4  4 Ho 3.10

=====

Number 1: total energy -215.92 eV/cell. Number 2: total energy -25.87 eV/cell. Number 3: total energy -87.90 eV/cell. Number 4: total energy -22.26 eV/cell.